Density functional theory data (PBE) for an optimized crystal structure of BaHgO3.

abc: 6.0895 6.0039 8.5430
angles: 90.00 90.00 90.00
Element x y z (fractional)
O 0.2298 0.2302 0.5346
O 0.7702 0.7698 0.0346
O 0.7702 0.7698 0.4654
O 0.7298 0.2698 0.4654
O 0.2702 0.7302 0.5346
O 0.0601 0.4944 0.2500
O 0.5601 0.0056 0.7500
O 0.7298 0.2698 0.0346
O 0.2298 0.2302 0.9654
O 0.2702 0.7302 0.9654
O 0.9399 0.5056 0.7500
O 0.4399 0.9944 0.2500
Ba 0.4957 0.4810 0.7500
Ba 0.5043 0.5190 0.2500
Ba 0.0043 0.9810 0.7500
Ba 0.9957 0.0190 0.2500
Hg 0.5000 0.0000 0.5000
Hg 0.0000 0.5000 0.5000
Hg 0.0000 0.5000 0.0000
Hg 0.5000 0.0000 0.0000

DFT total energy   -4.4268 eV per atom
Crystal system   orthorhombic
Space-group type   Pnma